No. 1
# NaHgPd2F PBE optimized geometry
data_NaHgPd2F
_symmetry_space_group_name_H-M 'P 4/m m m'
_symmetry_Int_Tables_number 123
_symmetry_space_group_name_Hall '-P 4 2'
_cell_length_a 4.641
_cell_length_b 4.641
_cell_length_c 4.096
_cell_angle_alpha 90.00
_cell_angle_beta 90.00
_cell_angle_gamma 90.00
loop_
_atom_site_label
_atom_site_fract_x
_atom_site_fract_y
_atom_site_fract_z
_atom_site_occupancy
Na1 0.000 0.000 0.000 1
Hg1 0.500 0.500 0.000 1
Pd1 0.000 0.500 0.500 1
F1 0.000 0.000 0.500 1
# formation energy (no corrections)	-0.43	eV per atom
# crystal system	tetragonal



No. 2
# NaHg2PdF PBE optimized geometry
data_NaHg2PdF
_symmetry_space_group_name_H-M 'P 4/m m m'
_symmetry_Int_Tables_number 123
_symmetry_space_group_name_Hall '-P 4 2'
_cell_length_a 5.596
_cell_length_b 5.596
_cell_length_c 3.872
_cell_angle_alpha 90.00
_cell_angle_beta 90.00
_cell_angle_gamma 90.00
loop_
_atom_site_label
_atom_site_fract_x
_atom_site_fract_y
_atom_site_fract_z
_atom_site_occupancy
Na1 0.000 0.000 0.000 1
Hg1 0.000 0.500 0.000 1
Pd1 0.500 0.500 0.500 1
F1 0.000 0.000 0.500 1
# formation energy (no corrections)	-0.40	eV per atom
# crystal system	tetragonal
# energy relative to the lowest polymorph listed for this composition	0.0000	eV per atom



No. 3
# NaHg2PdF PBE optimized geometry
data_NaHg2PdF
_symmetry_space_group_name_H-M 'P 4/m m m'
_symmetry_Int_Tables_number 123
_symmetry_space_group_name_Hall '-P 4 2'
_cell_length_a 5.382
_cell_length_b 5.382
_cell_length_c 4.244
_cell_angle_alpha 90.00
_cell_angle_beta 90.00
_cell_angle_gamma 90.00
loop_
_atom_site_label
_atom_site_fract_x
_atom_site_fract_y
_atom_site_fract_z
_atom_site_occupancy
Na1 0.000 0.000 0.000 1
Hg1 0.000 0.500 0.500 1
Pd1 0.500 0.500 0.000 1
F1 0.500 0.500 0.500 1
# formation energy (no corrections)	-0.37	eV per atom
# crystal system	tetragonal
# energy relative to the lowest polymorph listed for this composition	0.0320	eV per atom